Density functional theory data (PBE) for crystalline NpCdF6 at its relaxed geometry.

Structure (CIF):
```
data_NpCdF6
_cell_length_a 5.6879
_cell_length_b 5.6571
_cell_length_c 5.1392
_cell_angle_alpha 56.61
_cell_angle_beta 83.87
_cell_angle_gamma 78.82
_space_group_name_H-M_alt 'P 1'
_space_group_IT_number 1
loop_
_space_group_symop_operation_xyz
'x,y,z'
loop_
_atom_site_label
_atom_site_type_symbol
_atom_site_fract_x
_atom_site_fract_y
_atom_site_fract_z
Np1 Np 0.5000 0.5000 0.0000
Cd1 Cd 0.0000 0.0000 0.0000
F1 F 0.7316 0.4095 0.6855
F2 F 0.7316 0.0950 0.3145
F3 F 0.2684 0.9050 0.6855
F4 F 0.2684 0.5905 0.3145
F5 F 0.7592 0.7341 0.0000
F6 F 0.2408 0.2659 0.0000
```

The value obtained for the density of states at the Fermi level is 12.0 states/eV/f.u. As for the total DFT energy (no corrections): -6.07 eV per atom. As for the uncorrected formation energy: -2.931 eV/atom.